This record from Alexandria describes an optimized crystal structure of YRu2Rh. The functional is PBEsol.

- DOS at the Fermi energy: 4.3 states/eV/f.u.
- SG: Pm

Lattice parameters (Å, degrees): 2.871 4.327 5.265 90.00 101.25 90.00
Sites, in units of the cell vectors:
Y 0.000 0.000 0.000
Ru 0.241 0.500 0.642
Ru 0.628 0.000 0.499
Rh 0.568 0.500 0.210


This record from Alexandria describes an optimized crystal structure of YRuRh. The functional is PBEsol.

- DOS at the Fermi energy: 5.6 states/eV/f.u.
- SG: P3m1
- E above lowest polymorph: 389 meV per atom

Lattice parameters (Å, degrees): 3.069 3.069 6.435 90.00 90.00 120.00
Sites, in units of the cell vectors:
Y 0.000 0.000 0.000
Ru 0.667 0.333 0.347
Rh 0.333 0.667 0.651


This record from Alexandria describes an optimized crystal structure of YRuRh. The functional is PBEsol.

- DOS at the Fermi energy: 3.8 states/eV/f.u.
- SG: I4mm
- E above lowest polymorph: 0 meV per atom

Lattice parameters (Å, degrees): 3.325 3.325 9.649 90.00 90.00 90.00
Sites, in units of the cell vectors:
Y 0.000 0.000 0.000
Y 0.500 0.500 0.500
Ru 0.000 0.000 0.307
Ru 0.500 0.500 0.807
Rh 0.000 0.000 0.694
Rh 0.500 0.500 0.194


This record from Alexandria describes an optimized crystal structure of ZnRuRh2. The functional is PBEsol.

- DOS at the Fermi energy: 3.8 states/eV/f.u.
- SG: R3m

Lattice parameters (Å, degrees): 2.684 2.684 25.681 90.00 90.00 120.00
Sites, in units of the cell vectors:
Zn 0.000 0.000 0.000
Zn 0.333 0.667 0.667
Zn 0.667 0.333 0.333
Ru 0.000 0.000 0.249
Ru 0.333 0.667 0.916
Ru 0.667 0.333 0.582
Rh 0.000 0.000 0.501
Rh 0.000 0.000 0.748
Rh 0.333 0.667 0.168
Rh 0.333 0.667 0.415
Rh 0.667 0.333 0.082
Rh 0.667 0.333 0.834


This record from Alexandria describes an optimized crystal structure of ZnRuRh2. The functional is PBEsol.

- DOS at the Fermi energy: 4.0 states/eV/f.u.
- SG: C2/m

Lattice parameters (Å, degrees): 8.772 2.670 4.612 90.00 99.36 90.00
Sites, in units of the cell vectors:
Zn 0.000 0.000 0.000
Zn 0.500 0.500 0.000
Ru 0.000 0.500 0.500
Ru 0.500 0.000 0.500
Rh 0.247 0.000 0.747
Rh 0.253 0.500 0.253
Rh 0.747 0.500 0.747
Rh 0.753 0.000 0.253


This record from Alexandria describes an optimized crystal structure of ZnRuRh2. The functional is PBEsol.

- DOS at the Fermi energy: 2.7 states/eV/f.u.
- SG: P4/mmm

Lattice parameters (Å, degrees): 2.705 2.705 7.246 90.00 90.00 90.00
Sites, in units of the cell vectors:
Zn 0.000 0.000 0.000
Ru 0.000 0.000 0.500
Rh 0.500 0.500 0.251
Rh 0.500 0.500 0.749


This record from Alexandria describes an optimized crystal structure of Zr2RuRh. The functional is PBEsol.

- DOS at the Fermi energy: 3.1 states/eV/f.u.
- SG: P4/mmm

Lattice parameters (Å, degrees): 3.222 3.222 6.547 90.00 90.00 90.00
Sites, in units of the cell vectors:
Zr 0.000 0.000 0.248
Zr 0.000 0.000 0.752
Ru 0.500 0.500 0.000
Rh 0.500 0.500 0.500


This record from Alexandria describes an optimized crystal structure of ZrRuRh2. The functional is PBEsol.

- DOS at the Fermi energy: 4.4 states/eV/f.u.
- SG: Pmmm

Lattice parameters (Å, degrees): 2.829 3.810 5.577 90.00 90.00 90.00
Sites, in units of the cell vectors:
Zr 0.000 0.000 0.000
Ru 0.000 0.000 0.500
Rh 0.500 0.500 0.268
Rh 0.500 0.500 0.732


Number 1: energy of formation from the pure elements 21 meV/atom, calculated total energy -8.81 eV per atom. Number 2: energy of formation from the pure elements 406 meV/atom, calculated total energy -7.97 eV per atom. Number 3: energy of formation from the pure elements 17 meV/atom, calculated total energy -8.36 eV per atom. Number 4: energy of formation from the pure elements -27 meV/atom, calculated total energy -7.03 eV per atom. Number 5: energy of formation from the pure elements -35 meV/atom, calculated total energy -7.04 eV per atom. Number 6: energy of formation from the pure elements -154 meV/atom, calculated total energy -7.16 eV per atom. Number 7: energy of formation from the pure elements -684 meV/atom, calculated total energy -9.81 eV per atom. Number 8: energy of formation from the pure elements -318 meV/atom, calculated total energy -9.20 eV per atom.